Record 1
Below is a relaxed CrCd2TcSe crystal, with properties calculated at the GGA-PBE level.

Computed properties:
- Space group: No. 123
- E_form (uncorrected): 1.241 eV/atom
- DFT total energy: -19.10 eV per cell

a b c (Å): 5.232 5.232 4.607
angles (deg): 90.00 90.00 90.00
Element x y z (fractional)
Cr1 0.000 0.000 0.000
Cd1 0.000 0.500 0.500
Cd2 0.500 0.000 0.500
Tc1 0.500 0.500 0.000
Se1 0.000 0.000 0.500

Record 2
Below is a relaxed CrCdTe2Se crystal, with properties calculated at the GGA-PBE level.

Computed properties:
- Space group: No. 123
- E_form (uncorrected): 1.455 eV/atom
- DFT total energy: -13.03 eV per cell

a b c (Å): 5.502 5.502 5.065
angles (deg): 90.00 90.00 90.00
Element x y z (fractional)
Cr1 0.000 0.000 0.000
Cd1 0.000 0.000 0.500
Te1 0.000 0.500 0.500
Te2 0.500 0.000 0.500
Se1 0.500 0.500 0.000

Record 3
Below is a relaxed Cr2CdWSe crystal, with properties calculated at the GGA-PBE level.

Computed properties:
- Space group: No. 123
- E_form (uncorrected): 1.413 eV/atom
- DFT total energy: -29.53 eV per cell

a b c (Å): 4.620 4.620 5.030
angles (deg): 90.00 90.00 90.00
Element x y z (fractional)
Cr1 0.000 0.500 0.000
Cr2 0.500 0.000 0.000
Cd1 0.000 0.000 0.500
W1 0.500 0.500 0.500
Se1 0.000 0.000 0.000

Record 4
Below is a relaxed ZnCr4CdSe8 crystal, with properties calculated at the GGA-PBE level.

Computed properties:
- Space group: No. 216
- E_form (uncorrected): -0.572 eV/atom
- DFT total energy: -76.56 eV per cell

a b c (Å): 7.590 7.590 7.590
angles (deg): 60.00 60.00 60.00
Element x y z (fractional)
Zn1 0.000 0.000 0.000
Cr1 0.124 0.625 0.625
Cr2 0.625 0.124 0.625
Cr3 0.625 0.625 0.124
Cr4 0.625 0.625 0.625
Cd1 0.250 0.250 0.250
Se1 0.390 0.390 0.390
Se2 0.390 0.390 0.829
Se3 0.390 0.829 0.390
Se4 0.407 0.864 0.864
Se5 0.829 0.390 0.390
Se6 0.864 0.407 0.864
Se7 0.864 0.864 0.407
Se8 0.864 0.864 0.864

Record 5
Below is a relaxed CrCdSi2 crystal, with properties calculated at the GGA-PBE level.

Computed properties:
- Space group: No. 99
- E_form (uncorrected): 0.247 eV/atom
- DFT total energy: -20.40 eV per cell

a b c (Å): 3.206 3.206 5.992
angles (deg): 90.00 90.00 90.00
Element x y z (fractional)
Cr1 0.000 0.000 0.000
Cd1 0.500 0.500 0.674
Si1 0.000 0.000 0.379
Si2 0.500 0.500 0.143

Record 6
Below is a relaxed CrCd2Si crystal, with properties calculated at the GGA-PBE level.

Computed properties:
- Space group: No. 216
- E_form (uncorrected): 0.446 eV/atom
- DFT total energy: -60.37 eV per cell

a b c (Å): 6.699 6.699 6.699
angles (deg): 90.00 90.00 90.00
Element x y z (fractional)
Cr1 0.000 0.000 0.000
Cr2 0.000 0.500 0.500
Cr3 0.500 0.000 0.500
Cr4 0.500 0.500 0.000
Cd1 0.000 0.000 0.500
Cd2 0.000 0.500 0.000
Cd3 0.250 0.250 0.750
Cd4 0.250 0.750 0.250
Cd5 0.500 0.000 0.000
Cd6 0.500 0.500 0.500
Cd7 0.750 0.250 0.250
Cd8 0.750 0.750 0.750
Si1 0.250 0.250 0.250
Si2 0.250 0.750 0.750
Si3 0.750 0.250 0.750
Si4 0.750 0.750 0.250